The following is a PBE-GGA calculation of an optimized crystal structure of CaMoPt2, from Alexandria via LeMat-Bulk.

Symmetry: Fm-3m (225)
Size of the total moment (μB/cell): 0.0
ΔE to the lowest computed polymorph (meV/atom): 299
E_form (meV/atom): -90

abc: 4.669 4.669 4.669
angles: 60.00 60.00 60.00
Sites, in units of the cell vectors:
Mo1 0.500 0.500 0.500
Ca1 0.000 0.000 0.000
Pt1 0.250 0.250 0.250
Pt2 0.750 0.750 0.750